Ba2CaSc after structural relaxation. Source: Alexandria via LeMat-Bulk, functional PBE.

Cell lengths 7.2830, 7.2830, 3.8289 Å; angles 81.32, 81.32, 116.13 degrees
Positions (direct):
1 Ba 0.0000 0.0000 0.0000
2 Ba 0.5000 0.5000 0.0000
3 Sc 0.0000 0.5000 0.5000
4 Ca 0.5000 0.0000 0.5000

Computed properties:
- DOS(E_F) (states/eV/cell) = 5.5
- SG = C2/m, No. 12
- relative energy among the computed polymorphs (eV/atom) = 0.1037
- crystal system = monoclinic
- total moment (μB per atom) = 0.000
- DFT formation energy (eV per formula unit) = 1.22